# 1
# GGA-PBE CePr2YN4, optimized geometry
# total moment	0.0	μB per formula unit
# DFT total energy	-8.3584	eV per atom
# DOS(E_F)	2.87	states/eV/f.u.
# density	7.131	g cm⁻³
data_CePr2YN4
_chemical_formula_sum 'Ce1 Pr2 Y1 N4'
_cell_length_a 6.210
_cell_length_b 3.603
_cell_length_c 6.248
_cell_angle_alpha 90.00
_cell_angle_beta 109.25
_cell_angle_gamma 90.00
_space_group_name_H-M_alt 'P 1 2/m 1'
_space_group_IT_number 10
_space_group_name_Hall '-P 2y'
loop_
_atom_site_label
_atom_site_type_symbol
_atom_site_fract_x
_atom_site_fract_y
_atom_site_fract_z
Ce1 Ce 0.000 0.000 0.000
Pr1 Pr 0.000 0.500 0.500
Pr2 Pr 0.500 0.000 0.500
Y1 Y 0.500 0.500 0.000
N1 N 0.242 0.500 0.232
N2 N 0.252 0.000 0.767

=====

# 2
# GGA-PBE CePrYN3, optimized geometry
# total moment	0.6	μB per formula unit
# DFT total energy	-8.3299	eV per atom
# DOS(E_F)	3.30	states/eV/f.u.
# density	6.958	g cm⁻³
data_CePrYN3
_chemical_formula_sum 'Ce2 Pr2 Y2 N6'
_cell_length_a 6.106
_cell_length_b 3.544
_cell_length_c 9.276
_cell_angle_alpha 90.00
_cell_angle_beta 101.62
_cell_angle_gamma 90.00
_space_group_name_H-M_alt 'P 1 21/m 1'
_space_group_IT_number 11
_space_group_name_Hall '-P 2yb'
loop_
_atom_site_label
_atom_site_type_symbol
_atom_site_fract_x
_atom_site_fract_y
_atom_site_fract_z
Ce1 Ce 0.150 0.250 0.146
Pr1 Pr 0.336 0.250 0.801
Y1 Y 0.233 0.750 0.458
N1 N 0.038 0.750 0.654
N2 N 0.249 0.750 0.005
N3 N 0.457 0.250 0.336